DFT (PBE-GGA) results for Nd2CuCl after structural relaxation.

The structure in POSCAR format:
```
Nd2CuCl
1.0
4.041 0.000 0.000
2.020 3.500 0.000
2.020 1.167 7.492
Nd Cu Cl
2 1 1
Direct
0.074 0.074 0.777 Nd
0.260 0.260 0.221 Nd
0.668 0.668 0.997 Cu
0.499 0.499 0.504 Cl
```

- space group = No. 160
- formation energy (no corrections) (eV per atom) = -0.721
- raw total energy (eV per cell) = -18.364

DFT (PBE-GGA) results for TiCdAs after structural relaxation.

The structure in POSCAR format:
```
TiCdAs
1.0
-1.168 3.382 -2.170
-2.678 -2.340 -2.205
-4.732 1.221 4.450
Cd As Ti
2 2 2
Direct
0.000 0.500 0.831 Cd
0.500 0.000 0.169 Cd
0.000 0.500 0.244 As
0.500 0.000 0.756 As
0.500 0.500 0.500 Ti
0.000 0.000 0.500 Ti
```

- space group = No. 129
- raw total energy (eV per cell) = -29.430
- energy of formation from the pure elements (eV/atom) = -0.419

DFT (PBE-GGA) results for AcLa3Nd2Te6 after structural relaxation.

The structure in POSCAR format:
```
AcLa3Nd2Te6
1.0
7.947 -0.018 -0.006
-3.987 6.874 -0.006
-1.326 -2.296 7.478
Ac La Nd Te
1 3 2 6
Direct
0.000 0.000 0.000 Ac
0.162 0.838 0.500 La
0.838 0.162 0.500 La
0.500 0.500 0.500 La
0.332 0.668 0.000 Nd
0.668 0.332 0.000 Nd
0.916 0.574 0.748 Te
0.740 0.740 0.246 Te
0.084 0.426 0.252 Te
0.574 0.916 0.748 Te
0.260 0.260 0.754 Te
0.426 0.084 0.252 Te
```

- space group = No. 12
- formation energy (no corrections) (eV per atom) = -1.521
- raw total energy (eV per cell) = -65.523

DFT (PBE-GGA) results for Ba2LuRuO6 after structural relaxation.

The structure in POSCAR format:
```
Ba2LuRuO6
1.0
-3.750 -1.470 -4.322
-0.865 -5.685 -1.354
-5.142 -2.599 1.307
Ba Lu Ru O
2 1 1 6
Direct
0.250 0.250 0.250 Ba
0.750 0.750 0.750 Ba
0.000 0.000 0.000 Lu
0.500 0.500 0.500 Ru
0.738 0.738 0.262 O
0.738 0.262 0.738 O
0.262 0.738 0.262 O
0.738 0.262 0.262 O
0.262 0.262 0.738 O
0.262 0.738 0.738 O
```

- space group = No. 225
- formation energy (no corrections) (eV per atom) = -2.466
- raw total energy (eV per cell) = -72.048

DFT (PBE-GGA) results for ZrScTlRu after structural relaxation.

The structure in POSCAR format:
```
ZrScTlRu
1.0
-1.107 2.026 2.308
-3.020 -0.274 -1.208
-1.287 -5.889 4.551
Zr Sc Tl Ru
1 1 1 1
Direct
0.500 0.500 0.783 Zr
0.500 0.500 0.359 Sc
0.000 0.000 0.076 Tl
0.000 0.000 0.566 Ru
```

- space group = No. 99
- raw total energy (eV per cell) = -28.149
- energy of formation from the pure elements (eV/atom) = -0.407

DFT (PBE-GGA) results for GePd2ClO after structural relaxation.

The structure in POSCAR format:
```
GePd2ClO
1.0
4.904 0.000 0.000
0.000 3.712 0.000
0.000 0.000 4.904
Ge O Pd Cl
1 1 2 1
Direct
0.000 0.000 0.000 Ge
0.000 0.500 0.000 O
0.000 0.000 0.500 Pd
0.500 0.000 0.000 Pd
0.500 0.500 0.500 Cl
```

- space group = No. 123
- formation energy (no corrections) (eV per atom) = -0.025
- raw total energy (eV per cell) = -21.931

DFT (PBE-GGA) results for BeTl2Os after structural relaxation.

The structure in POSCAR format:
```
BeTl2Os
1.0
-0.349 -2.852 -1.256
2.048 1.995 -1.286
6.355 -3.109 5.297
Be Tl Os
1 2 1
Direct
0.500 0.500 0.250 Be
0.000 0.000 0.011 Tl
0.000 0.000 0.489 Tl
0.500 0.500 0.750 Os
```

- space group = No. 65
- raw total energy (eV per cell) = -15.266
- energy of formation from the pure elements (eV/atom) = 1.106

DFT (PBE-GGA) results for Na2Sc2Re after structural relaxation.

The structure in POSCAR format:
```
Na2Sc2Re
1.0
-4.586 1.910 1.513
-2.138 -4.701 -0.546
-2.509 -2.202 4.089
Sc Re Na
2 1 2
Direct
0.750 0.250 0.500 Sc
0.250 0.750 0.500 Sc
0.000 0.000 0.000 Re
0.364 0.364 0.271 Na
0.636 0.636 0.729 Na
```

- space group = No. 139
- raw total energy (eV per cell) = -22.490
- energy of formation from the pure elements (eV/atom) = 1.052

DFT (PBE-GGA) results for Hf3ScP after structural relaxation.

The structure in POSCAR format:
```
Hf3ScP
1.0
-1.221 1.718 -4.394
-4.457 1.068 1.657
1.547 4.434 1.304
Sc P Hf
1 1 3
Direct
0.500 0.500 0.500 Sc
0.000 0.000 0.000 P
0.000 0.500 0.000 Hf
0.000 0.000 0.500 Hf
0.500 0.000 0.000 Hf
```

- space group = No. 221
- raw total energy (eV per cell) = -42.974
- energy of formation from the pure elements (eV/atom) = -0.274

DFT (PBE-GGA) results for Pr4HgAu7 after structural relaxation.

The structure in POSCAR format:
```
Pr4HgAu7
1.0
-3.768 -3.335 1.268
0.224 -0.975 8.722
-5.882 3.931 3.479
Pr Hg Au
4 1 7
Direct
0.562 0.252 0.624 Pr
0.438 0.748 0.376 Pr
0.730 0.738 0.803 Pr
0.270 0.262 0.197 Pr
0.000 0.000 0.000 Hg
0.806 0.984 0.404 Au
0.194 0.016 0.596 Au
0.098 0.636 0.167 Au
0.902 0.364 0.833 Au
0.330 0.548 0.791 Au
0.500 0.000 0.000 Au
0.670 0.452 0.209 Au
```

- space group = No. 12
- raw total energy (eV per cell) = -49.315
- energy of formation from the pure elements (eV/atom) = -0.579

DFT (PBE-GGA) results for Sb2Pd7Au after structural relaxation.

The structure in POSCAR format:
```
Sb2Pd7Au
1.0
-2.512 -0.157 3.181
2.244 -2.962 1.625
6.300 9.108 2.838
Sb Pd Au
2 7 1
Direct
0.668 0.668 0.336 Sb
0.332 0.332 0.664 Sb
0.091 0.591 0.182 Pd
0.409 0.909 0.818 Pd
0.591 0.091 0.182 Pd
0.500 0.500 0.000 Pd
0.750 0.250 0.500 Pd
0.909 0.409 0.818 Pd
0.250 0.750 0.500 Pd
0.000 0.000 0.000 Au
```

- space group = No. 139
- formation energy (no corrections) (eV per atom) = -0.280
- raw total energy (eV per cell) = -50.675

DFT (PBE-GGA) results for Dy2Y4In after structural relaxation.

The structure in POSCAR format:
```
Dy2Y4In
1.0
-1.925 -5.044 -1.714
6.256 -1.799 -1.731
2.686 -1.519 11.286
Dy Y In
4 8 2
Direct
0.553 0.750 0.024 Dy
0.447 0.250 0.976 Dy
0.244 0.250 0.427 Dy
0.756 0.750 0.573 Dy
0.628 0.492 0.288 Y
0.969 0.750 0.870 Y
0.031 0.250 0.130 Y
0.628 0.008 0.288 Y
0.830 0.250 0.571 Y
0.372 0.992 0.712 Y
0.372 0.508 0.712 Y
0.170 0.750 0.429 Y
0.115 0.750 0.158 In
0.885 0.250 0.842 In
```

- space group = No. 11
- raw total energy (eV per cell) = -76.150
- energy of formation from the pure elements (eV/atom) = -0.039

Which value of raw total energy does entry 10 give?
-49.315 eV per cell